1.
DFT (GGA-PBE) results for an optimized crystal structure of TbNdCuRh.

Properties
Energy relative to the lowest polymorph listed for this composition (meV/atom): 43
Energy of formation (eV per atom): -0.47
Total magnetic moment (μB per cell): 0.0
Theoretical density (kg/m³): 8945

Geometry as POSCAR:
```
TbNdCuRh
1.0
0.000 3.519 3.519
3.519 0.000 3.519
3.519 3.519 0.000
Tb Nd Cu Rh
1 1 1 1
direct
0.000 0.000 0.000
0.500 0.500 0.500
0.250 0.250 0.250
0.750 0.750 0.750
```

=====

2.
DFT (GGA-PBE) results for an optimized crystal structure of LaRe.

Properties
Energy relative to the lowest polymorph listed for this composition (meV/atom): 339
Energy of formation (eV per atom): 0.49
Total magnetic moment (μB per cell): 0.0
Theoretical density (kg/m³): 10066

Geometry as POSCAR:
```
LaRe
1.0
1.867 -8.851 0.000
1.867 8.851 0.000
0.000 0.000 4.870
La Re
3 3
direct
0.000 0.000 0.000
0.344 0.656 0.500
0.656 0.344 0.500
0.209 0.791 0.000
0.500 0.500 0.500
0.791 0.209 0.000
```

=====

3.
DFT (GGA-PBE) results for an optimized crystal structure of BeNb2Ga.

Properties
Energy relative to the lowest polymorph listed for this composition (meV/atom): 210
Energy of formation (eV per atom): 0.04
Total magnetic moment (μB per cell): 0.0
Theoretical density (kg/m³): 7204

Geometry as POSCAR:
```
BeNb2Ga
1.0
0.000 3.124 3.124
3.124 0.000 3.124
3.124 3.124 0.000
Be Nb Ga
1 2 1
direct
0.000 0.000 0.000
0.250 0.250 0.250
0.750 0.750 0.750
0.500 0.500 0.500
```

=====

4.
DFT (GGA-PBE) results for an optimized crystal structure of TaFeCo2.

Properties
Energy relative to the lowest polymorph listed for this composition (meV/atom): 0
Energy of formation (eV per atom): -0.17
Total magnetic moment (μB per cell): 2.5
Theoretical density (kg/m³): 11932

Geometry as POSCAR:
```
TaFeCo2
1.0
3.713 0.000 0.000
0.000 3.713 0.000
0.000 0.000 3.580
Ta Fe Co
1 1 2
direct
0.000 0.000 0.000
0.500 0.500 0.000
0.000 0.500 0.500
0.500 0.000 0.500
```